Below is an optimized crystal structure of CrBr2, with properties calculated at the GGA-PBE level.

Results
uncorrected formation energy: -0.59 eV/atom
total DFT energy (no corrections): -4.91 eV/atom
symmetry: No. 164
V: 86 Å³/cell
N(E_F): 4.7 states/eV per cell

Lattice parameters (Å, degrees): 3.8377 3.8377 6.7627 90.00 90.00 120.00
Fractional positions:
Cr (0.0000, 0.0000, 0.0000)
Br (0.3333, 0.6667, 0.2192)
Br (0.6667, 0.3333, 0.7808)

=====

Below is an optimized crystal structure of CrBr7, with properties calculated at the GGA-PBE level.

Results
uncorrected formation energy: 0.57 eV/atom
total DFT energy (no corrections): -2.10 eV/atom
symmetry: No. 225
V: 206 Å³/cell
N(E_F): 13.6 states/eV per cell

Lattice parameters (Å, degrees): 6.6330 6.6330 6.6330 60.00 60.00 60.00
Fractional positions:
Cr (0.0000, 0.0000, 0.0000)
Br (0.0000, 0.0000, 0.5000)
Br (0.0000, 0.5000, 0.0000)
Br (0.0000, 0.5000, 0.5000)
Br (0.5000, 0.0000, 0.0000)
Br (0.5000, 0.0000, 0.5000)
Br (0.5000, 0.5000, 0.0000)
Br (0.5000, 0.5000, 0.5000)

=====

Below is an optimized crystal structure of Cr2Br, with properties calculated at the GGA-PBE level.

Results
excess energy over the best structure of this formula in the dataset: 1021 meV/atom
uncorrected formation energy: 1.07 eV/atom
total DFT energy (no corrections): -5.91 eV/atom
symmetry: No. 58
V: 110 Å³/cell
N(E_F): 5.4 states/eV per cell

Lattice parameters (Å, degrees): 5.6270 6.1218 3.1810 90.00 90.00 90.00
Fractional positions:
Cr (0.1243, 0.0899, 0.0000)
Cr (0.3757, 0.5899, 0.5000)
Cr (0.6243, 0.4101, 0.5000)
Cr (0.8757, 0.9101, 0.0000)
Br (0.0000, 0.5000, 0.0000)
Br (0.5000, 0.0000, 0.5000)

=====

Below is an optimized crystal structure of CrBr2, with properties calculated at the GGA-PBE level.

Results
uncorrected formation energy: -0.21 eV/atom
total DFT energy (no corrections): -4.53 eV/atom
symmetry: No. 225
V: 302 Å³/cell
N(E_F): 19.5 states/eV per cell

Lattice parameters (Å, degrees): 6.7104 6.7104 6.7104 90.00 90.00 90.00
Fractional positions:
Cr (0.0000, 0.0000, 0.0000)
Cr (0.0000, 0.5000, 0.5000)
Cr (0.5000, 0.0000, 0.5000)
Cr (0.5000, 0.5000, 0.0000)
Br (0.2500, 0.2500, 0.2500)
Br (0.2500, 0.2500, 0.7500)
Br (0.2500, 0.7500, 0.2500)
Br (0.2500, 0.7500, 0.7500)
Br (0.7500, 0.2500, 0.2500)
Br (0.7500, 0.2500, 0.7500)
Br (0.7500, 0.7500, 0.2500)
Br (0.7500, 0.7500, 0.7500)

=====

Below is an optimized crystal structure of CrBr2, with properties calculated at the GGA-PBE level.

Results
uncorrected formation energy: -0.50 eV/atom
total DFT energy (no corrections): -4.83 eV/atom
symmetry: No. 205
V: 288 Å³/cell
N(E_F): 3.9 states/eV per cell

Lattice parameters (Å, degrees): 6.6062 6.6062 6.6062 90.00 90.00 90.00
Fractional positions:
Cr (0.0000, 0.0000, 0.0000)
Cr (0.0000, 0.5000, 0.5000)
Cr (0.5000, 0.0000, 0.5000)
Cr (0.5000, 0.5000, 0.0000)
Br (0.1554, 0.6554, 0.8446)
Br (0.1554, 0.8446, 0.3446)
Br (0.3446, 0.1554, 0.8446)
Br (0.3446, 0.3446, 0.3446)
Br (0.6554, 0.6554, 0.6554)
Br (0.6554, 0.8446, 0.1554)
Br (0.8446, 0.1554, 0.6554)
Br (0.8446, 0.3446, 0.1554)

=====

Below is an optimized crystal structure of Cr2Br, with properties calculated at the GGA-PBE level.

Results
excess energy over the best structure of this formula in the dataset: 116 meV/atom
uncorrected formation energy: 0.16 eV/atom
total DFT energy (no corrections): -6.81 eV/atom
symmetry: No. 8
V: 262 Å³/cell
N(E_F): 3.8 states/eV per cell

Lattice parameters (Å, degrees): 8.8900 3.2325 9.3504 90.00 102.55 90.00
Fractional positions:
Cr (0.0000, 0.0000, 0.0000)
Cr (0.0000, 0.5000, 0.2027)
Cr (0.2627, 0.5000, 0.1367)
Cr (0.2699, 0.0000, 0.9450)
Cr (0.5000, 0.0000, 0.2027)
Cr (0.5000, 0.5000, 0.0000)
Cr (0.7627, 0.0000, 0.1367)
Cr (0.7699, 0.5000, 0.9450)
Br (0.0441, 0.0000, 0.7426)
Br (0.2278, 0.0000, 0.3667)
Br (0.5441, 0.5000, 0.7426)
Br (0.7278, 0.5000, 0.3667)

=====

Below is an optimized crystal structure of CrBr2, with properties calculated at the GGA-PBE level.

Results
uncorrected formation energy: -0.43 eV/atom
total DFT energy (no corrections): -4.75 eV/atom
symmetry: No. 194
V: 174 Å³/cell
N(E_F): 5.4 states/eV per cell

Lattice parameters (Å, degrees): 3.6922 3.6922 14.7690 90.00 90.00 120.00
Fractional positions:
Cr (0.0000, 0.0000, 0.2500)
Cr (0.0000, 0.0000, 0.7500)
Br (0.3333, 0.6667, 0.1379)
Br (0.3333, 0.6667, 0.3621)
Br (0.6667, 0.3333, 0.6379)
Br (0.6667, 0.3333, 0.8621)

=====

Below is an optimized crystal structure of Cr8Br, with properties calculated at the GGA-PBE level.

Results
uncorrected formation energy: 0.58 eV/atom
total DFT energy (no corrections): -8.16 eV/atom
symmetry: No. 139
V: 111 Å³/cell
N(E_F): 11.5 states/eV per cell

Lattice parameters (Å, degrees): 5.5911 5.5911 5.5911 97.80 97.80 136.77
Fractional positions:
Cr (0.0000, 0.3415, 0.3415)
Cr (0.0000, 0.6585, 0.6585)
Cr (0.3280, 0.3280, 0.6559)
Cr (0.3280, 0.6720, 0.0000)
Cr (0.3415, 0.0000, 0.3415)
Cr (0.6585, 0.0000, 0.6585)
Cr (0.6720, 0.3280, 0.0000)
Cr (0.6720, 0.6720, 0.3441)
Br (0.0000, 0.0000, 0.0000)